5
Lattice="-1.631 1.631 9.731 1.631 -1.631 9.731 1.631 1.631 -9.731" Properties=species:S:1:pos:R:3 comment="Rb2Be2F GGA-PBE optimized geometry" e_form_raw_ev_per_atom=-0.48 crystal_system=tetragonal m_tot_mub_per_atom=0.000 relative_energy_mev_per_atom=0 pbc="T T T"
Rb 0.000 0.000 1.724
Rb 0.000 0.000 17.738
Be 1.631 0.000 4.865
Be 0.000 1.631 4.865
F 0.000 0.000 9.731